No. 1
A plane-wave DFT calculation with PBE was carried out for SiTe3 after structural relaxation.

Results
- formation energy from raw total energies (meV/atom) = 316
- magnetization (μB per cell) = 0.0
- VASP energy (eV/atom) = -3.40

Cell and atoms, written as POSCAR:
```
SiTe3
1.0
6.0202 0.0044 -0.0131
-0.8883 5.9543 0.0131
-0.2938 -4.9362 3.4337
Si Te
1 3
Direct
0.0023 0.0000 0.0023 Si
0.5345 0.5000 0.0345 Te
0.9314 0.2831 0.6483 Te
0.3652 0.7169 0.6483 Te
```

No. 2
A plane-wave DFT calculation with PBE was carried out for KCdPt2 after structural relaxation.

Results
- magnetization (μB per cell) = 0.0
- VASP energy (eV/atom) = -3.53
- calculated formation energy (eV/atom) = -0.01
- energy relative to the lowest polymorph listed for this composition (meV/atom) = 202

Cell and atoms, written as POSCAR:
```
KCdPt2
1.0
6.4478 -0.0059 -0.0004
3.6177 5.3373 0.0004
-4.2357 -4.1705 2.4980
Cd K Pt
1 1 2
Direct
0.4580 0.4580 0.0000 Cd
0.7600 0.2600 0.5000 K
0.0408 0.0408 0.0000 Pt
0.2413 0.7413 0.5000 Pt
```

No. 3
A plane-wave DFT calculation with PBE was carried out for Ce12PtRh6 after structural relaxation.

Results
- magnetization (μB per cell) = 10.6
- VASP energy (eV/atom) = -6.83
- calculated formation energy (eV/atom) = -0.44

Cell and atoms, written as POSCAR:
```
Ce12PtRh6
1.0
-5.4469 5.8961 1.1753
-3.4955 -5.5436 4.7817
5.4790 2.6290 5.3744
Ce Pt Rh
12 1 6
Direct
0.8139 0.5877 0.4214 Ce
0.4214 0.8139 0.5877 Ce
0.5877 0.4214 0.8139 Ce
0.1861 0.4123 0.5786 Ce
0.5786 0.1861 0.4123 Ce
0.4123 0.5786 0.1861 Ce
0.0658 0.9678 0.3426 Ce
0.0322 0.6574 0.9342 Ce
0.6574 0.9342 0.0322 Ce
0.9342 0.0322 0.6574 Ce
0.9678 0.3426 0.0658 Ce
0.3426 0.0658 0.9678 Ce
0.0000 0.0000 0.0000 Pt
0.6761 0.8730 0.3712 Rh
0.6288 0.3239 0.1270 Rh
0.1270 0.6288 0.3239 Rh
0.3239 0.1270 0.6288 Rh
0.3712 0.6761 0.8730 Rh
0.8730 0.3712 0.6761 Rh
```

No. 4
A plane-wave DFT calculation with PBE was carried out for In2PtPb after structural relaxation.

Results
- magnetization (μB per cell) = 0.0
- VASP energy (eV/atom) = -3.94
- calculated formation energy (eV/atom) = -0.14

Cell and atoms, written as POSCAR:
```
In2PtPb
1.0
-1.4131 -2.9018 -0.9746
1.8860 0.0191 -2.7946
6.1629 -4.3881 4.1293
In Pb Pt
2 1 1
Direct
0.0000 0.0000 0.9506 In
0.5000 0.5000 0.2215 In
0.0000 0.0000 0.5554 Pb
0.5000 0.5000 0.7725 Pt
```

No. 5
A plane-wave DFT calculation with PBE was carried out for LiPmTmSi after structural relaxation.

Results
- formation energy from raw total energies (meV/atom) = -344
- magnetization (μB per cell) = 0.0
- VASP energy (eV/atom) = -4.48

Cell and atoms, written as POSCAR:
```
LiPmTmSi
1.0
-3.2440 -2.4299 -2.9302
-3.9298 -2.3404 2.0232
-4.6108 1.8178 -0.6712
Si Tm Li Pm
1 1 1 1
Direct
0.7500 0.7500 0.7500 Si
0.5000 0.5000 0.5000 Tm
0.2500 0.2500 0.2500 Li
0.0000 0.0000 0.0000 Pm
```

No. 6
A plane-wave DFT calculation with PBE was carried out for Mg3VBr after structural relaxation.

Results
- formation energy from raw total energies (meV/atom) = 662
- magnetization (μB per cell) = 4.4
- VASP energy (eV/atom) = -2.45
- energy relative to the lowest polymorph listed for this composition (meV/atom) = 0

Cell and atoms, written as POSCAR:
```
Mg3VBr
1.0
-5.3258 0.1384 1.1851
1.1048 -1.4756 5.1372
0.4507 5.2528 1.4119
Mg Br V
3 1 1
Direct
0.0000 0.5000 0.0000 Mg
0.0000 0.0000 0.5000 Mg
0.5000 0.0000 0.0000 Mg
0.5000 0.5000 0.5000 Br
0.0000 0.0000 0.0000 V
```

No. 7
A plane-wave DFT calculation with PBE was carried out for Na2OsF after structural relaxation.

Results
- formation energy from raw total energies (meV/atom) = 120
- magnetization (μB per cell) = 6.0
- VASP energy (eV/atom) = -3.81
- energy relative to the lowest polymorph listed for this composition (meV/atom) = 0

Cell and atoms, written as POSCAR:
```
Na2OsF
1.0
6.6942 0.0000 0.0000
0.0000 6.6942 0.0000
3.3471 3.3471 3.6998
Na Os F
4 2 2
Direct
0.5200 0.1250 0.2500 Na
0.2300 0.6250 0.2500 Na
0.3750 0.4800 0.7500 Na
0.8750 0.7700 0.7500 Na
0.0000 0.0000 0.0000 Os
0.7500 0.2500 0.5000 Os
0.5000 0.5000 0.0000 F
0.2500 0.7500 0.5000 F
```

No. 8
A plane-wave DFT calculation with PBE was carried out for TlPtC2O8 after structural relaxation.

Results
- formation energy from raw total energies (meV/atom) = -671
- magnetization (μB per cell) = 0.0
- VASP energy (eV/atom) = -6.21

Cell and atoms, written as POSCAR:
```
TlPtC2O8
1.0
4.5571 -0.1375 0.0007
1.9802 4.1066 0.0007
0.3166 0.1923 6.8219
Tl Pt C O
1 1 2 8
Direct
0.0000 0.0000 0.5000 Tl
0.0000 0.0000 0.0000 Pt
0.6470 0.6470 0.2241 C
0.3530 0.3530 0.7759 C
0.7076 0.2384 0.7798 O
0.7421 0.7421 0.0477 O
0.7144 0.7144 0.3966 O
0.2856 0.2856 0.6034 O
0.2579 0.2579 0.9523 O
0.2384 0.7076 0.7798 O
0.7616 0.2924 0.2202 O
0.2924 0.7616 0.2202 O
```

No. 9
A plane-wave DFT calculation with PBE was carried out for DyCoGe2 after structural relaxation.

Results
- magnetization (μB per cell) = 0.0
- VASP energy (eV/atom) = -5.89
- calculated formation energy (eV/atom) = -0.65

Cell and atoms, written as POSCAR:
```
DyCoGe2
1.0
-1.6598 3.6879 -0.9075
5.3416 0.7375 -6.7733
-7.1566 -5.7310 -0.7348
Dy Co Ge
4 4 8
Direct
0.7075 0.7075 0.4149 Dy
0.5000 0.2618 0.0000 Dy
0.5000 0.7382 0.0000 Dy
0.2925 0.2925 0.5851 Dy
0.8540 0.6045 0.7080 Co
0.1460 0.3955 0.2920 Co
0.1460 0.8965 0.2920 Co
0.8540 0.1035 0.7080 Co
0.9207 0.4207 0.8415 Ge
0.6972 0.3576 0.3944 Ge
0.6972 0.0368 0.3944 Ge
0.3028 0.6424 0.6056 Ge
0.0835 0.0835 0.1670 Ge
0.0793 0.5793 0.1585 Ge
0.9165 0.9165 0.8330 Ge
0.3028 0.9632 0.6056 Ge
```